# 1
First-principles (PBE-GGA) data for Cs2Zn2O5 after structural relaxation, as listed in OQMD.

Summary:
calculated total energy = -3.85 eV/atom

CIF file:
```
data_Cs2Zn2O5
_chemical_formula_sum 'Cs2 Zn2 O5'
_symmetry_space_group_name_H-M 'P 4/m m m'
_symmetry_Int_Tables_number 123
_symmetry_space_group_name_Hall '-P 4 2'
_cell_length_a 3.854
_cell_length_b 3.854
_cell_length_c 9.756
_cell_angle_alpha 90.00
_cell_angle_beta 90.00
_cell_angle_gamma 90.00
loop_
_atom_site_label
_atom_site_fract_x
_atom_site_fract_y
_atom_site_fract_z
_atom_site_occupancy
Cs1 0.000 0.000 0.000 1
Cs2 0.000 0.000 0.500 1
Zn1 0.500 0.500 0.212 1
O1 0.000 0.500 0.259 1
O2 0.500 0.500 0.000 1
```

# 2
First-principles (PBE-GGA) data for SrPaGe after structural relaxation, as listed in OQMD.

Summary:
magnetization = 5.57 μB per cell
calculated total energy = -4.99 eV/atom

CIF file:
```
data_SrPaGe
_chemical_formula_sum 'Sr4 Pa4 Ge4'
_symmetry_space_group_name_H-M 'F -4 3 m'
_symmetry_Int_Tables_number 216
_symmetry_space_group_name_Hall 'F -4 2 3'
_cell_length_a 7.140
_cell_length_b 7.140
_cell_length_c 7.140
_cell_angle_alpha 90.00
_cell_angle_beta 90.00
_cell_angle_gamma 90.00
loop_
_atom_site_label
_atom_site_fract_x
_atom_site_fract_y
_atom_site_fract_z
_atom_site_occupancy
Sr1 0.000 0.000 0.000 1
Pa1 0.000 0.000 0.500 1
Ge1 0.250 0.250 0.750 1
```

# 3
First-principles (PBE-GGA) data for Ba2InOsS6 after structural relaxation, as listed in OQMD.

Summary:
magnetization = 4.57 μB per cell
calculated total energy = -5.10 eV/atom

CIF file:
```
data_Ba2InOsS6
_chemical_formula_sum 'Ba4 In2 Os2 S12'
_symmetry_space_group_name_H-M 'C 1 2/m 1'
_symmetry_Int_Tables_number 12
_cell_length_a 11.866
_cell_length_b 6.747
_cell_length_c 7.359
_cell_angle_alpha 90.00
_cell_angle_beta 125.59
_cell_angle_gamma 90.00
loop_
_symmetry_equiv_pos_as_xyz
'x,y,z'
'-x,-y,-z'
'-x,y,-z'
'x,-y,z'
'x+1/2,y+1/2,z'
'-x+1/2,-y+1/2,-z'
'-x+1/2,y+1/2,-z'
'x+1/2,-y+1/2,z'
loop_
_atom_site_label
_atom_site_fract_x
_atom_site_fract_y
_atom_site_fract_z
_atom_site_occupancy
Ba1 0.249 0.000 0.248 1
In1 0.000 0.000 0.500 1
Os1 0.000 0.500 0.000 1
S1 0.046 0.255 0.818 1
S2 0.238 0.500 0.320 1
```

Please write out number 1 again, unchanged.
First-principles (PBE-GGA) data for Cs2Zn2O5 after structural relaxation, as listed in OQMD.

Summary:
calculated total energy = -3.85 eV/atom

CIF file:
```
data_Cs2Zn2O5
_chemical_formula_sum 'Cs2 Zn2 O5'
_symmetry_space_group_name_H-M 'P 4/m m m'
_symmetry_Int_Tables_number 123
_symmetry_space_group_name_Hall '-P 4 2'
_cell_length_a 3.854
_cell_length_b 3.854
_cell_length_c 9.756
_cell_angle_alpha 90.00
_cell_angle_beta 90.00
_cell_angle_gamma 90.00
loop_
_atom_site_label
_atom_site_fract_x
_atom_site_fract_y
_atom_site_fract_z
_atom_site_occupancy
Cs1 0.000 0.000 0.000 1
Cs2 0.000 0.000 0.500 1
Zn1 0.500 0.500 0.212 1
O1 0.000 0.500 0.259 1
O2 0.500 0.500 0.000 1
```

Look up the calculated total energy of the third one. -5.10 eV/atom